1.
Material: Be2AgTe
Method: DFT, PBE
State: optimized geometry

Computed properties:
Its density of states at the Fermi level is 5.35 states/eV/cell. The spin magnetization is 0.000 μB/f.u. The uncorrected formation energy is 0.450 eV per atom. Its mass density is 5066 kg/m3. The crystal system is tetragonal.

Unit cell a=5.752 b=5.752 c=6.463 alpha=63.58 beta=63.58 gamma=90.00
Fractional positions:
Be (0.129, 0.625, 0.250)
Be (0.875, 0.871, 0.750)
Ag (0.500, 0.500, 0.000)
Te (0.000, 0.000, 0.000)
Te (0.750, 0.250, 0.500)
Ag (0.250, 0.750, 0.500)
Be (0.621, 0.125, 0.250)
Be (0.375, 0.379, 0.750)

2.
Material: GaOF
Method: DFT, PBE
State: optimized geometry

Computed properties:
Its density of states at the Fermi level is 0.00 states/eV/cell. The spin magnetization is 0.000 μB/f.u. The uncorrected formation energy is -2.132 eV per atom. Its mass density is 4698 kg/m3. The crystal system is monoclinic.

Unit cell a=5.517 b=8.636 c=5.639 alpha=80.96 beta=60.71 gamma=71.37
Fractional positions:
O (0.030, 0.764, 0.864)
Ga (0.206, 0.221, 0.740)
F (0.539, 0.928, 0.257)
Ga (0.832, 0.721, 0.240)
F (0.236, 0.591, 0.151)
F (0.031, 0.925, 0.328)
Ga (0.595, 0.395, 0.210)
O (0.342, 0.264, 0.364)
Ga (0.800, 0.895, 0.710)
O (0.956, 0.240, 0.120)
F (0.716, 0.425, 0.828)
O (0.475, 0.073, 0.846)
O (0.684, 0.740, 0.620)
O (0.607, 0.573, 0.346)
F (0.022, 0.091, 0.651)
Ga (0.235, 0.113, 0.233)
F (0.276, 0.428, 0.757)
Ga (0.418, 0.613, 0.733)

3.
Material: Sr2TcAgO6
Method: DFT, PBE
State: optimized geometry

Computed properties:
The spin magnetization is 0.000 μB/f.u. The uncorrected formation energy is -1.820 eV per atom. Its mass density is 5539 kg/m3. The crystal system is monoclinic.

Unit cell a=5.777 b=6.195 c=7.994 alpha=90.00 beta=88.82 gamma=90.00
Fractional positions:
Ag (0.000, 0.500, 0.500)
O (0.725, 0.340, 0.957)
O (0.602, 0.043, 0.272)
O (0.225, 0.160, 0.457)
O (0.898, 0.543, 0.228)
O (0.848, 0.763, 0.940)
O (0.152, 0.237, 0.060)
Sr (0.515, 0.567, 0.752)
Sr (0.015, 0.933, 0.252)
O (0.398, 0.957, 0.728)
O (0.348, 0.737, 0.440)
O (0.652, 0.263, 0.560)
O (0.275, 0.660, 0.043)
Tc (0.000, 0.500, 0.000)
O (0.775, 0.840, 0.543)
Sr (0.485, 0.433, 0.248)
Sr (0.985, 0.067, 0.748)
O (0.102, 0.457, 0.772)
Ag (0.500, 0.000, 0.000)
Tc (0.500, 0.000, 0.500)